[1]
Entry from the Alexandria database: a geometry-optimized LaBeIr2 structure (PBE-GGA).

a b c (Å): 3.1141 3.1142 7.0606
angles (deg): 90.00 90.00 90.00
Closest atoms and distances in Å follow each position.
Atoms (fractional coordinates):
Ir 0.5000 0.5000 0.2111  1 Be 2.53
Ir 0.0000 0.0000 0.9397  4 Be 2.29
Be 0.5000 0.5000 0.8528  5 Ir 2.29-2.53
La 0.0000 0.0000 0.4965  5 Ir 2.98-3.13, 4 La 3.11

M_tot in μB/atom: 0.0000
Calculated formation energy in eV per atom: -0.06
Crystal system: tetragonal
Space group: P4mm, No. 99

[2]
Entry from the Alexandria database: a geometry-optimized SrCa2HPb structure (PBE-GGA).

a b c (Å): 5.1162 5.1162 5.1235
angles (deg): 90.00 90.00 90.00
Closest atoms and distances in Å follow each position.
Atoms (fractional coordinates):
Ca 0.5000 0.0000 0.0000  2 H 2.56
Ca 0.0000 0.5000 0.0000  2 H 2.56
Pb 0.5000 0.5000 0.5000  4 Sr 3.62, 8 Ca 3.62
H 0.0000 0.0000 0.0000  4 Ca 2.56, 2 Sr 2.56
Sr 0.0000 0.0000 0.5000  2 H 2.56

Total energy in eV/atom: -2.957
M_tot in μB/atom: 0.0000
Crystal system: tetragonal
Space group: P4/mmm, No. 123

[3]
Entry from the Alexandria database: a geometry-optimized NbV3Rh structure (PBE-GGA).

a b c (Å): 4.5246 4.5246 4.5246
angles (deg): 90.00 90.00 90.00
Closest atoms and distances in Å follow each position.
Atoms (fractional coordinates):
V 0.0000 0.5000 0.0000  2 Rh 2.26
V 0.5000 0.0000 0.0000  2 Rh 2.26
V 0.0000 0.0000 0.5000  2 Rh 2.26
Nb 0.5000 0.5000 0.5000  12 V 3.20
Rh 0.0000 0.0000 0.0000  6 V 2.26

M_tot in μB/atom: 0.4360
Relative energy among the computed polymorphs in eV per formula unit: 0.00
Calculated formation energy in eV per atom: 1.06
Crystal system: cubic
Space group: Pm-3m, No. 221

[4]
Entry from the Alexandria database: a geometry-optimized Re2Ir structure (PBE-GGA).

a b c (Å): 2.6982 4.1650 17.4373
angles (deg): 90.00 90.00 90.00
Closest atoms and distances in Å follow each position.
Atoms (fractional coordinates):
Ir 0.0000 0.7500 0.3876  2 Ir 2.70, 10 Re 2.79-2.94
Ir 0.0000 0.2500 0.6124  2 Ir 2.70, 10 Re 2.79-2.94
Ir 0.5000 0.2500 0.8876  2 Ir 2.70, 10 Re 2.79-2.94
Ir 0.5000 0.7500 0.1124  2 Ir 2.70, 10 Re 2.79-2.94
Re 0.5000 0.2500 0.3139  5 Re 2.59-2.70, 4 Ir 2.79
Re 0.5000 0.7500 0.6861  5 Re 2.59-2.70, 4 Ir 2.79
Re 0.0000 0.7500 0.8139  5 Re 2.59-2.70, 4 Ir 2.79
Re 0.0000 0.2500 0.0375  5 Re 2.46-2.70
Re 0.5000 0.2500 0.4625  5 Re 2.46-2.70
Re 0.0000 0.7500 0.9625  5 Re 2.46-2.70
Re 0.0000 0.2500 0.1861  5 Re 2.59-2.70, 4 Ir 2.79
Re 0.5000 0.7500 0.5375  5 Re 2.46-2.70

M_tot in μB/atom: 0.0000
Relative energy among the computed polymorphs in eV per formula unit: 1.82
Calculated formation energy in eV per atom: 0.41
Crystal system: orthorhombic
Space group: Imma, No. 74

[5]
Entry from the Alexandria database: a geometry-optimized FeTc structure (PBE-GGA).

a b c (Å): 4.5777 4.1636 5.2264
angles (deg): 90.00 90.00 90.00
Closest atoms and distances in Å follow each position.
Atoms (fractional coordinates):
Tc 0.0961 0.2500 0.6231  8 Fe 2.55-2.70, 4 Tc 2.60-2.65
Tc 0.5961 0.2500 0.8769  8 Fe 2.55-2.70, 4 Tc 2.60-2.65
Tc 0.4039 0.7500 0.1231  8 Fe 2.55-2.70, 4 Tc 2.60-2.65
Tc 0.9039 0.7500 0.3769  8 Fe 2.55-2.70, 4 Tc 2.60-2.65
Fe 0.4216 0.7500 0.6229  4 Fe 2.55-2.65, 8 Tc 2.55-2.70
Fe 0.9216 0.7500 0.8771  4 Fe 2.55-2.65, 8 Tc 2.55-2.70
Fe 0.5784 0.2500 0.3771  4 Fe 2.55-2.65, 8 Tc 2.55-2.70
Fe 0.0784 0.2500 0.1229  4 Fe 2.55-2.65, 8 Tc 2.55-2.70

M_tot in μB/atom: 0.0000
Calculated formation energy in eV per atom: 0.04
Crystal system: orthorhombic
Space group: Pnma, No. 62

[6]
Entry from the Alexandria database: a geometry-optimized LaY2TlCo structure (PBE-GGA).

a b c (Å): 5.2948 5.2948 5.0913
angles (deg): 90.00 90.00 90.00
Closest atoms and distances in Å follow each position.
Atoms (fractional coordinates):
Y 0.5000 0.0000 0.0000  2 Co 2.65
Y 0.0000 0.5000 0.0000  2 Co 2.65
Tl 0.5000 0.5000 0.5000  8 Y 3.67, 4 La 3.74
La 0.0000 0.0000 0.5000  2 Co 2.55
Co 0.0000 0.0000 0.0000  2 La 2.55, 4 Y 2.65

M_tot in μB/atom: 0.0000
Relative energy among the computed polymorphs in eV per formula unit: 0.00
Calculated formation energy in eV per atom: -0.19
Crystal system: tetragonal
Space group: P4/mmm, No. 123

[7]
Entry from the Alexandria database: a geometry-optimized Li7In3Pt structure (PBE-GGA).

a b c (Å): 2.8982 9.7377 14.9119
angles (deg): 90.00 90.00 98.56
Closest atoms and distances in Å follow each position.
Atoms (fractional coordinates):
Li 0.3832 0.7664 0.1654  3 Li 2.52-2.73, 2 Pt 2.70
Li 0.6168 0.2336 0.6654  3 Li 2.52-2.73, 2 Pt 2.70
Li 0.4935 0.9870 0.6007  1 Li 2.56, 2 Pt 2.70
Li 0.6016 0.2032 0.2500  2 Pt 2.73, 4 Li 2.88-2.90, 1 In 3.05
Li 0.6168 0.2336 0.8346  3 Li 2.52-2.73, 2 Pt 2.70
Li 0.2568 0.5135 0.4177  5 Li 2.73-2.90, 3 In 2.86-2.89
Li 0.7432 0.4865 0.9177  5 Li 2.73-2.90, 3 In 2.86-2.89
Li 0.5065 0.0130 0.3993  1 Li 2.56, 2 Pt 2.70
Li 0.2568 0.5135 0.0823  5 Li 2.73-2.90, 3 In 2.86-2.89
Li 0.7432 0.4865 0.5823  5 Li 2.73-2.90, 3 In 2.86-2.89
Li 0.3832 0.7664 0.3346  3 Li 2.52-2.73, 2 Pt 2.70
Li 0.4935 0.9870 0.8993  1 Li 2.56, 2 Pt 2.70
Li 0.3984 0.7968 0.7500  2 Pt 2.73, 4 Li 2.88-2.90, 1 In 3.05
Li 0.5065 0.0130 0.1007  1 Li 2.56, 2 Pt 2.70
In 0.1191 0.2383 0.0100  7 Li 2.86-3.12, 2 In 2.90
In 0.8809 0.7617 0.9900  7 Li 2.86-3.12, 2 In 2.90
In 0.8809 0.7617 0.5100  7 Li 2.86-3.12, 2 In 2.90
In 0.7601 0.5201 0.2500  9 Li 2.89-3.05, 2 In 2.90
In 0.2399 0.4799 0.7500  9 Li 2.89-3.05, 2 In 2.90
In 0.1191 0.2383 0.4900  7 Li 2.86-3.12, 2 In 2.90
Pt 0.0186 0.0372 0.7500  10 Li 2.70-2.73, 2 Pt 2.90
Pt 0.9814 0.9628 0.2500  10 Li 2.70-2.73, 2 Pt 2.90

M_tot in μB/atom: 0.0000
Calculated formation energy in eV per atom: -0.25
Crystal system: orthorhombic
Space group: Cmcm, No. 63

[8]
Entry from the Alexandria database: a geometry-optimized TaOsSe2 structure (PBE-GGA).

a b c (Å): 5.0203 5.0203 5.0203
angles (deg): 132.64 132.64 69.22
Closest atoms and distances in Å follow each position.
Atoms (fractional coordinates):
Se 0.0000 0.0000 0.0000  4 Ta 2.85, 4 Se 2.89, 4 Os 2.89
Se 0.2500 0.7500 0.5000  4 Os 2.85, 4 Se 2.89, 4 Ta 2.89
Ta 0.5000 0.5000 0.0000  8 Se 2.85-2.89, 4 Os 2.89
Os 0.7500 0.2500 0.5000  8 Se 2.85-2.89, 4 Ta 2.89

M_tot in μB/atom: 0.0000
Relative energy among the computed polymorphs in eV per formula unit: 2.30
Uncorrected formation energy in eV/atom: 0.42
Crystal system: tetragonal
Space group: I-4m2, No. 119

[9]
Entry from the Alexandria database: a geometry-optimized Ba3Pu2Se2O5 structure (PBE-GGA).

a b c (Å): 4.4751 4.4751 13.3056
angles (deg): 99.68 99.68 90.00
Closest atoms and distances in Å follow each position.
Atoms (fractional coordinates):
O 0.0822 0.5822 0.1644  2 Pu 2.24
O 0.5000 0.5000 0.0000  2 Pu 2.16
O 0.9178 0.4178 0.8356  2 Pu 2.24
O 0.4178 0.9178 0.8356  2 Pu 2.24
O 0.5822 0.0822 0.1644  2 Pu 2.24
Se 0.6966 0.6966 0.3933  1 Pu 2.92, 4 Ba 3.22
Se 0.3034 0.3034 0.6067  1 Pu 2.92, 4 Ba 3.22
Pu 0.5836 0.5836 0.1672  5 O 2.16-2.24
Pu 0.4164 0.4164 0.8328  5 O 2.16-2.24
Ba 0.1735 0.1735 0.3470  5 Se 3.22-3.36, 4 O 3.25
Ba 0.8265 0.8265 0.6530  5 Se 3.22-3.36, 4 O 3.25
Ba 0.0000 0.0000 0.0000  12 O 3.09-3.16

M_tot in μB/atom: 0.6667
Uncorrected formation energy in eV/atom: -2.63
Crystal system: tetragonal
Space group: I4/mmm, No. 139

[10]
Entry from the Alexandria database: a geometry-optimized MnTl4Cd structure (PBE-GGA).

a b c (Å): 6.3439 6.3439 6.3439
angles (deg): 60.00 60.00 60.00
Closest atoms and distances in Å follow each position.
Atoms (fractional coordinates):
Tl 0.8757 0.3748 0.3748  6 Tl 3.17-3.18
Tl 0.3748 0.8757 0.3748  6 Tl 3.17-3.18
Tl 0.3748 0.3748 0.3748  6 Tl 3.17-3.18
Tl 0.3748 0.3748 0.8757  6 Tl 3.17-3.18
Mn 0.0000 0.0000 0.0000  12 Tl 3.72, 4 Cd 3.88
Cd 0.7500 0.7500 0.7500  12 Tl 3.72, 4 Mn 3.88

M_tot in μB/atom: 0.7182
Calculated formation energy in eV per atom: 0.51
Crystal system: cubic
Space group: F-43m, No. 216